Record 1
# Ce2CoSi4Rh3 PBE-GGA relaxed
# **Crystal system**: tetragonal
# **Symmetry**: No. 115
# **DOS at the Fermi energy**: 9.43 states/eV/f.u.
# **Formation energy from raw total energies**: -0.94 eV/atom
# **Mass density**: 7.58 g/cm³
data_Ce2CoSi4Rh3
_symmetry_space_group_name_H-M 'P 1'
_symmetry_Int_Tables_number 1
_cell_length_a 4.1027
_cell_length_b 4.1027
_cell_length_c 9.8920
_cell_angle_alpha 90.00
_cell_angle_beta 90.00
_cell_angle_gamma 90.00
loop_
_symmetry_equiv_pos_as_xyz
'x,y,z'
loop_
_atom_site_label
_atom_site_type_symbol
_atom_site_fract_x
_atom_site_fract_y
_atom_site_fract_z
_atom_site_occupancy
Ce1 Ce 0.0000 0.5000 0.2481 1
Ce2 Ce 0.5000 0.0000 0.7519 1
Co1 Co 0.0000 0.0000 0.5000 1
Si1 Si 0.0000 0.0000 0.0000 1
Si2 Si 0.0000 0.5000 0.6250 1
Si3 Si 0.5000 0.0000 0.3750 1
Si4 Si 0.5000 0.5000 0.0000 1
Rh1 Rh 0.0000 0.5000 0.8705 1
Rh2 Rh 0.5000 0.0000 0.1295 1
Rh3 Rh 0.5000 0.5000 0.5000 1



Record 2
# CeCo2Si2Rh PBE-GGA relaxed
# **Crystal system**: tetragonal
# **Symmetry**: No. 123
# **DOS at the Fermi energy**: 8.36 states/eV/f.u.
# **Formation energy from raw total energies**: -0.03 eV/atom
# **Mass density**: 6.53 g/cm³
data_CeCo2Si2Rh
_symmetry_space_group_name_H-M 'P 1'
_symmetry_Int_Tables_number 1
_cell_length_a 4.5402
_cell_length_b 4.5402
_cell_length_c 5.1449
_cell_angle_alpha 90.00
_cell_angle_beta 90.00
_cell_angle_gamma 90.00
loop_
_symmetry_equiv_pos_as_xyz
'x,y,z'
loop_
_atom_site_label
_atom_site_type_symbol
_atom_site_fract_x
_atom_site_fract_y
_atom_site_fract_z
_atom_site_occupancy
Ce1 Ce 0.0000 0.0000 0.0000 1
Co1 Co 0.5000 0.5000 0.2623 1
Co2 Co 0.5000 0.5000 0.7377 1
Si1 Si 0.0000 0.5000 0.5000 1
Si2 Si 0.5000 0.0000 0.5000 1
Rh1 Rh 0.0000 0.0000 0.5000 1



Record 3
# CeCoSi2Rh2 PBE-GGA relaxed
# **Crystal system**: tetragonal
# **Symmetry**: No. 123
# **DOS at the Fermi energy**: 4.19 states/eV/f.u.
# **Formation energy from raw total energies**: -0.52 eV/atom
# **Mass density**: 7.71 g/cm³
data_CeCoSi2Rh2
_symmetry_space_group_name_H-M 'P 1'
_symmetry_Int_Tables_number 1
_cell_length_a 4.3040
_cell_length_b 4.3040
_cell_length_c 5.3636
_cell_angle_alpha 90.00
_cell_angle_beta 90.00
_cell_angle_gamma 90.00
loop_
_symmetry_equiv_pos_as_xyz
'x,y,z'
loop_
_atom_site_label
_atom_site_type_symbol
_atom_site_fract_x
_atom_site_fract_y
_atom_site_fract_z
_atom_site_occupancy
Ce1 Ce 0.0000 0.0000 0.0000 1
Co1 Co 0.0000 0.0000 0.5000 1
Si1 Si 0.0000 0.5000 0.5000 1
Si2 Si 0.5000 0.0000 0.5000 1
Rh1 Rh 0.5000 0.5000 0.2457 1
Rh2 Rh 0.5000 0.5000 0.7543 1



Record 4
# CeCoSnRh PBE-GGA relaxed
# **Crystal system**: cubic
# **Symmetry**: No. 216
# **DOS at the Fermi energy**: 6.21 states/eV/f.u.
# **Mass density**: 9.44 g/cm³
# **Formation energy from the elements**: -0.4284 eV per atom
data_CeCoSnRh
_symmetry_space_group_name_H-M 'P 1'
_symmetry_Int_Tables_number 1
_cell_length_a 4.7116
_cell_length_b 4.7116
_cell_length_c 4.7116
_cell_angle_alpha 60.00
_cell_angle_beta 60.00
_cell_angle_gamma 60.00
loop_
_symmetry_equiv_pos_as_xyz
'x,y,z'
loop_
_atom_site_label
_atom_site_type_symbol
_atom_site_fract_x
_atom_site_fract_y
_atom_site_fract_z
_atom_site_occupancy
Ce1 Ce 0.0000 0.0000 0.0000 1
Co1 Co 0.2500 0.2500 0.2500 1
Sn1 Sn 0.5000 0.5000 0.5000 1
Rh1 Rh 0.7500 0.7500 0.7500 1



Copy entry 3 word for word.
# CeCoSi2Rh2 PBE-GGA relaxed
# **Crystal system**: tetragonal
# **Symmetry**: No. 123
# **DOS at the Fermi energy**: 4.19 states/eV/f.u.
# **Formation energy from raw total energies**: -0.52 eV/atom
# **Mass density**: 7.71 g/cm³
data_CeCoSi2Rh2
_symmetry_space_group_name_H-M 'P 1'
_symmetry_Int_Tables_number 1
_cell_length_a 4.3040
_cell_length_b 4.3040
_cell_length_c 5.3636
_cell_angle_alpha 90.00
_cell_angle_beta 90.00
_cell_angle_gamma 90.00
loop_
_symmetry_equiv_pos_as_xyz
'x,y,z'
loop_
_atom_site_label
_atom_site_type_symbol
_atom_site_fract_x
_atom_site_fract_y
_atom_site_fract_z
_atom_site_occupancy
Ce1 Ce 0.0000 0.0000 0.0000 1
Co1 Co 0.0000 0.0000 0.5000 1
Si1 Si 0.0000 0.5000 0.5000 1
Si2 Si 0.5000 0.0000 0.5000 1
Rh1 Rh 0.5000 0.5000 0.2457 1
Rh2 Rh 0.5000 0.5000 0.7543 1